Computed, not measured: AcPm2Pd after structural relaxation at the PBE level of DFT.

a = 7.428 Å, b = 10.300 Å, c = 6.717 Å
α = 90.00°, β = 90.00°, γ = 90.00°
Atoms (fractional coordinates):
Ac  0.027  0.250  0.143
Ac  0.473  0.750  0.643
Ac  0.527  0.250  0.357
Ac  0.973  0.750  0.857
Pm  0.177  0.062  0.667
Pm  0.177  0.438  0.667
Pm  0.323  0.562  0.167
Pm  0.323  0.938  0.167
Pm  0.677  0.062  0.833
Pm  0.677  0.438  0.833
Pm  0.823  0.562  0.333
Pm  0.823  0.938  0.333
Pd  0.114  0.750  0.411
Pd  0.386  0.250  0.911
Pd  0.614  0.750  0.089
Pd  0.886  0.250  0.589

The value obtained for the formation energy is -411 meV per atom. For the density of states at the Fermi level, the calculation gives 1.166 states/eV per atom. As for the total DFT energy (no corrections): -81.79 eV for the cell shown.